Entry 1:
Mg2TaSe after structural relaxation, computed with PBE.

**Calculated total energy**: -18.5 eV per formula unit
**Space group**: P4/mmm, No. 123
**DOS(E_F)**: 2.119 states/eV per cell
**Energy relative to the elements, uncorrected**: 1.3 kJ per mole of atoms

```
Mg2TaSe
1.0
-0.6236 2.7951 -1.6555
-1.8462 -1.6920 -2.1613
-5.6524 1.0922 3.9733
Mg Ta Se
2 1 1
Cartesian
-2.6864 0.5191 1.8884
-0.1397 0.0270 0.0982
-5.4742 1.3707 1.0716
-2.6480 0.8246 -0.9150
```

=====

Entry 2:
LaEr2In3 after structural relaxation, computed with PBE.

**Calculated total energy**: -25.1 eV per formula unit
**Space group**: P4/mmm, No. 123
**DOS(E_F)**: 3.302 states/eV per cell
**Energy relative to the elements**: -0.474 eV per atom

```
LaEr2In3
1.0
3.7687 0.0000 0.0000
0.0000 3.7687 0.0000
0.0000 0.0000 11.6309
Er La In
2 1 3
Cartesian
1.8844 1.8844 1.8392
1.8844 1.8844 9.7917
1.8844 1.8844 5.8155
0.0000 0.0000 7.9704
0.0000 0.0000 0.0000
0.0000 0.0000 3.6605
```